(1)
First-principles (PBE-GGA) data for Nd2HgBi4 after structural relaxation, as listed in Alexandria via LeMat-Bulk.

Lattice parameters (Å, degrees): 4.637 4.637 10.331 90.00 90.00 90.00
Space group P-4m2 (No. 115)
Unique sites:
Nd (0.000, 0.500, 0.249) x2
Hg (0.500, 0.500, 0.000) x1
Bi (0.000, 0.000, 0.500) x1
Bi (0.000, 0.500, 0.815) x2
Bi (0.500, 0.500, 0.500) x1

Output
magnetization	0.000	Bohr magnetons per cell
raw total energy	-4.151	eV per atom
polymorph energy (0 for the lowest one)	0	kJ/mol of formula units
calculated formation energy	-0.5283	eV/atom

(2)
First-principles (PBE-GGA) data for Nd8Hg3Bi2 after structural relaxation, as listed in Alexandria via LeMat-Bulk.

Lattice parameters (Å, degrees): 15.867 8.472 6.529 90.00 93.60 90.00
Space group C2/m (No. 12)
Unique sites:
Nd (0.085, 0.000, 0.369) x4
Nd (0.114, 0.209, 0.873) x8
Nd (0.173, 0.500, 0.355) x4
Hg (0.000, 0.329, 0.500) x4
Hg (0.000, 0.500, 0.000) x2
Bi (0.243, 0.500, 0.856) x4

Output
magnetization	0.005	Bohr magnetons per cell
raw total energy	-3.930	eV per atom
calculated formation energy	-0.3289	eV/atom

(3)
First-principles (PBE-GGA) data for NdHg2Bi2 after structural relaxation, as listed in Alexandria via LeMat-Bulk.

Lattice parameters (Å, degrees): 26.114 4.727 4.641 90.00 90.07 90.00
Space group C2/m (No. 12)
Unique sites:
Nd (0.145, 0.000, 0.249) x4
Hg (0.042, 0.000, 0.750) x4
Hg (0.045, 0.500, 0.250) x4
Bi (0.140, 0.500, 0.749) x4
Bi (0.250, 0.000, 0.750) x4

Output
magnetization	0.000	Bohr magnetons per cell
raw total energy	-2.979	eV per atom
polymorph energy (0 for the lowest one)	0	kJ/mol of formula units
calculated formation energy	-0.3519	eV/atom

(4)
First-principles (PBE-GGA) data for NdHg2Bi after structural relaxation, as listed in Alexandria via LeMat-Bulk.

Lattice parameters (Å, degrees): 3.897 3.897 7.326 90.00 90.00 90.00
Space group P4/mmm (No. 123)
Unique sites:
Nd (0.000, 0.000, 0.000) x1
Hg (0.500, 0.500, 0.253) x2
Bi (0.000, 0.000, 0.500) x1

Output
magnetization	0.121	Bohr magnetons per cell
raw total energy	-2.613	eV per atom
calculated formation energy	-0.2997	eV/atom

(5)
First-principles (PBE-GGA) data for Nd2HgBi4 after structural relaxation, as listed in Alexandria via LeMat-Bulk.

Lattice parameters (Å, degrees): 9.474 9.712 9.864 90.00 90.00 90.00
Space group Fmmm (No. 69)
Unique sites:
Nd (0.000, 0.250, 0.250) x8
Hg (0.000, 0.000, 0.000) x4
Bi (0.250, 0.000, 0.250) x8
Bi (0.250, 0.250, 0.000) x8

Output
magnetization	0.000	Bohr magnetons per cell
raw total energy	-4.093	eV per atom
polymorph energy (0 for the lowest one)	40	kJ/mol of formula units
calculated formation energy	-0.4697	eV/atom

(6)
First-principles (PBE-GGA) data for NdHg6Bi2 after structural relaxation, as listed in Alexandria via LeMat-Bulk.

Lattice parameters (Å, degrees): 8.555 5.129 12.312 90.00 93.71 90.00
Space group C2/m (No. 12)
Unique sites:
Nd (0.000, 0.000, 0.000) x2
Hg (0.008, 0.000, 0.336) x4
Hg (0.169, 0.500, 0.441) x4
Hg (0.172, 0.500, 0.111) x4
Bi (0.158, 0.500, 0.813) x4

Output
magnetization	0.000	Bohr magnetons per cell
raw total energy	-1.754	eV per atom
calculated formation energy	-0.1606	eV/atom